# Ir2AuBr GGA-PBE relaxed
# crystal system	orthorhombic
# total magnetic moment	0.00	μB/atom
# SG	Cmm2, No. 35
# formation energy (no corrections)	246	kJ/mol of formula units
# energy	-5.031	eV per atom
# energy relative to the lowest polymorph listed for this composition	182.6	meV per atom
data_Ir2AuBr
_symmetry_space_group_name_H-M 'P 1'
_symmetry_Int_Tables_number 1
_cell_length_a 2.864
_cell_length_b 2.864
_cell_length_c 10.349
_cell_angle_alpha 90.00
_cell_angle_beta 90.00
_cell_angle_gamma 121.50
loop_
_symmetry_equiv_pos_as_xyz
'x,y,z'
loop_
_atom_site_label
_atom_site_type_symbol
_atom_site_fract_x
_atom_site_fract_y
_atom_site_fract_z
_atom_site_occupancy
Ir1 Ir 0.000 0.000 0.018 1
Ir2 Ir 0.500 0.500 0.228 1
Au1 Au 0.000 0.000 0.470 1
Br1 Br 0.500 0.500 0.784 1